Here is a relaxed AlSN2 crystal from the Alexandria database. Energies are from PBE.

Summary:
Calculated volume   42 Å³/cell
Total DFT energy (no corrections)   -0.2240 Ha/atom
Space group   R-3m
Crystal system   trigonal
Calculated density   3.4 Mg/m³
Energy relative to the elements, uncorrected   0.03 eV/atom

a = 5.7510 Å, b = 5.7510 Å, c = 5.7510 Å
α = 29.97°, β = 29.97°, γ = 29.97°
Positions (direct):
1 S 0.0000 0.0000 0.0000
2 Al 0.5000 0.5000 0.5000
3 N 0.8965 0.8965 0.8965
4 N 0.1035 0.1035 0.1035

=====

Here is a relaxed TaPRu2 crystal from the Alexandria database. Energies are from PBE.

Summary:
Calculated volume   115 Å³/cell
Total DFT energy (no corrections)   -0.3498 Ha/atom
Space group   Cmcm
Crystal system   orthorhombic
DFT formation energy   -565 meV/atom
Calculated density   12.0 Mg/m³

a = 3.7302 Å, b = 4.9449 Å, c = 6.7327 Å
α = 90.00°, β = 90.00°, γ = 112.17°
Positions (direct):
1 Ta 0.9443 0.8890 0.2500
2 Ta 0.0557 0.1110 0.7500
3 P 0.7748 0.5496 0.7500
4 P 0.2252 0.4504 0.2500
5 Ru 0.3601 0.7200 0.5434
6 Ru 0.6399 0.2800 0.4566
7 Ru 0.3601 0.7200 0.9566
8 Ru 0.6399 0.2800 0.0434

=====

Here is a relaxed Hf2CoHIr crystal from the Alexandria database. Energies are from PBE.

Summary:
Calculated volume   69 Å³/cell
Total DFT energy (no corrections)   -0.3098 Ha/atom
Space group   P4/mmm
Crystal system   tetragonal
Calculated density   14.7 Mg/m³

a = 4.4542 Å, b = 4.4542 Å, c = 3.4586 Å
α = 90.00°, β = 90.00°, γ = 90.00°
Positions (direct):
1 Co 0.0000 0.0000 0.5000
2 Ir 0.5000 0.5000 0.5000
3 Hf 0.0000 0.5000 0.0000
4 Hf 0.5000 0.0000 0.0000
5 H 0.0000 0.0000 0.0000

=====

Here is a relaxed NaGaHgF6 crystal from the Alexandria database. Energies are from PBE.

Summary:
Calculated volume   263 Å³/cell
Total DFT energy (no corrections)   -0.1487 Ha/atom
Space group   P-31c
Crystal system   trigonal
Calculated density   5.1 Mg/m³
Energy relative to the elements, uncorrected   -2.28 eV/atom

a = 5.7066 Å, b = 5.7066 Å, c = 9.3392 Å
α = 90.00°, β = 90.00°, γ = 120.00°
Positions (direct):
1 Na 0.0000 0.0000 0.0000
2 Na 0.0000 0.0000 0.5000
3 Ga 0.6667 0.3333 0.2500
4 Ga 0.3333 0.6667 0.7500
5 Hg 0.3333 0.6667 0.2500
6 Hg 0.6667 0.3333 0.7500
7 F 0.6708 0.6163 0.1346
8 F 0.9456 0.3292 0.1346
9 F 0.3292 0.9456 0.6346
10 F 0.0544 0.6708 0.8654
11 F 0.3837 0.3292 0.3654
12 F 0.9456 0.6163 0.3654
13 F 0.6163 0.9456 0.8654
14 F 0.6708 0.0544 0.3654
15 F 0.0544 0.3837 0.6346
16 F 0.3837 0.0544 0.1346
17 F 0.6163 0.6708 0.6346
18 F 0.3292 0.3837 0.8654